Run w
Here is a PBEsol-optimized structure of Mg2ZnSe from the Alexandria database. Energies are from meta-GGA SCAN.

The structure in POSCAR format:
```
Mg2ZnSe
1.0
3.1498 -3.4691 0.0000
3.1498 3.4691 0.0000
0.0000 0.0000 3.5045
Mg Zn Se
2 1 1
direct
0.0000 0.5000 0.0000
0.5000 0.0000 0.0000
0.0000 0.0000 0.5000
0.5000 0.5000 0.5000
```

=====

Run x
Here is a PBEsol-optimized structure of Mg2ZnSe from the Alexandria database. Energies are from meta-GGA SCAN.

The structure in POSCAR format:
```
Mg2ZnSe
1.0
3.7758 0.0000 0.0000
0.0000 3.7758 0.0000
0.0000 0.0000 5.7865
Mg Zn Se
2 1 1
direct
0.0000 0.0000 0.0000
0.5000 0.5000 0.3980
0.5000 0.5000 0.9105
0.0000 0.0000 0.4822
```

=====

The structure with the most favorable energy is run x; the runner-up is 76 meV per atom above it.